Record 1
Density functional theory data (GGA-PBE) for AgTe2Mo after structural relaxation.

Summary:
Space-group type: R-3m, No. 166
Raw total energy, eV/f.u.: -19.55
Excess energy over the best structure of this formula in the dataset, meV per atom: 0.9
Formation energy without anion corrections, eV/atom: 0.104

abc: 9.375 9.375 9.375
angles: 21.78 21.78 21.78
Element x y z (fractional)
1 Te 0.900 0.900 0.900
2 Te 0.100 0.100 0.100
3 Ag 0.000 0.000 0.000
4 Mo 0.500 0.500 0.500

=====

Record 2
Density functional theory data (GGA-PBE) for LaPrNd4Sm2 after structural relaxation.

Summary:
Space-group type: P2/m, No. 10
Raw total energy, eV/f.u.: -38.08

abc: 3.688 12.242 6.370
angles: 79.70 90.00 90.00
Element x y z (fractional)
1 Pr 0.000 0.500 0.500
2 Nd 0.000 0.247 0.251
3 Nd 0.500 0.753 0.249
4 Nd 0.000 0.753 0.749
5 Nd 0.500 0.247 0.751
6 Sm 0.000 0.000 0.000
7 Sm 0.500 0.000 0.500
8 La 0.500 0.500 0.000

=====

Record 3
Density functional theory data (GGA-PBE) for CsCdS2N after structural relaxation.

Summary:
Space-group type: P4/mmm, No. 123
Raw total energy, eV/f.u.: -9.85
Formation energy without anion corrections, eV/atom: 1.700

abc: 5.745 5.745 4.483
angles: 90.00 90.00 90.00
Last column: magnetic moment on the atom in μB.
Element x y z (fractional)
1 Cs 0.000 0.000 0.000  0.02
2 Cd 0.500 0.500 0.500  -0.01
3 S 0.000 0.500 0.000  0.05
4 S 0.500 0.000 0.000  0.05
5 N 0.000 0.000 0.500  0.82

=====

Record 4
Density functional theory data (GGA-PBE) for BeOs after structural relaxation.

Summary:
Space-group type: Amm2, No. 38
Raw total energy, eV/f.u.: -15.03

abc: 2.809 12.310 3.960
angles: 90.00 90.00 90.00
Element x y z (fractional)
1 Os 0.000 0.319 0.877
2 Os 0.000 0.681 0.877
3 Os 0.500 0.500 0.993
4 Os 0.500 0.000 0.493
5 Os 0.000 0.181 0.377
6 Os 0.000 0.819 0.377
7 Be 0.500 0.348 0.384
8 Be 0.500 0.152 0.884
9 Be 0.500 0.848 0.884
10 Be 0.500 0.652 0.384
11 Be 0.000 0.000 0.987
12 Be 0.000 0.500 0.487